Entry 1:
A relaxed structure of TlZn2Si, computed with PBE.

Output
D(E_F), states/eV/cell: 1.3
Total energy, eV/atom: -2.2022

Cell: 6.173 6.173 6.173 Å, 153.08 130.80 56.97°
Fractional positions:
Si (0.532, 0.532, 0.000)
Tl (0.263, 0.763, 0.500)
Zn (0.965, 0.965, 0.000)
Zn (0.739, 0.239, 0.500)

=====

Entry 2:
A relaxed structure of TlZn2Si, computed with PBE.

Output
D(E_F), states/eV/cell: 0.8
Total energy, eV/atom: -2.2959

Cell: 3.634 2.941 7.612 Å, 76.65 90.00 90.00°
Fractional positions:
Si (0.500, 0.250, 0.250)
Tl (0.500, 0.750, 0.750)
Zn (0.000, 0.874, 0.062)
Zn (0.000, 0.626, 0.438)

=====

Entry 3:
A relaxed structure of TlZn2Si, computed with PBE.

Output
D(E_F), states/eV/cell: 3.2
Total energy, eV/atom: -2.1041

Cell: 4.837 4.837 4.837 Å, 60.00 60.00 60.00°
Fractional positions:
Si (0.500, 0.500, 0.500)
Tl (0.750, 0.750, 0.750)
Zn (0.000, 0.000, 0.000)
Zn (0.250, 0.250, 0.250)

=====

Entry 4:
A relaxed structure of TlZn2Si, computed with PBE.

Output
D(E_F), states/eV/cell: 1.4
Total energy, eV/atom: -2.3771

Cell: 4.117 4.117 6.298 Å, 73.70 73.70 58.46°
Fractional positions:
Si (0.250, 0.250, 0.250)
Tl (0.750, 0.750, 0.750)
Zn (0.964, 0.964, 0.102)
Zn (0.536, 0.536, 0.398)

=====

Entry 5:
A relaxed structure of Tl2ZnSi2, computed with PBE.

Output
D(E_F), states/eV/cell: 2.2
Total energy, eV/atom: -2.8472

Cell: 5.050 5.050 6.101 Å, 65.55 65.55 90.00°
Fractional positions:
Tl (0.750, 0.250, 0.500)
Tl (0.250, 0.750, 0.500)
Si (0.383, 0.383, 0.233)
Si (0.617, 0.617, 0.767)
Zn (0.000, 0.000, 0.000)

=====

Entry 6:
A relaxed structure of TlZn2Si, computed with PBE.

Output
D(E_F), states/eV/cell: 0.8
Total energy, eV/atom: -2.2933

Cell: 2.905 3.638 7.533 Å, 90.00 90.00 90.00°
Fractional positions:
Si (0.500, 0.500, 0.250)
Tl (0.500, 0.500, 0.750)
Zn (0.000, 0.000, 0.063)
Zn (0.000, 0.000, 0.437)

=====

Entry 7:
A relaxed structure of ZrTl2ZnSi, computed with PBE.

Output
D(E_F), states/eV/cell: 4.3
Total energy, eV/atom: -3.2504

Cell: 5.337 4.448 5.337 Å, 90.00 90.00 90.00°
Fractional positions:
Tl (0.000, 0.000, 0.500)
Tl (0.500, 0.000, 0.000)
Si (0.000, 0.000, 0.000)
Zn (0.000, 0.500, 0.000)
Zr (0.500, 0.500, 0.500)

=====

Entry 8:
A relaxed structure of Zr5TlSi2, computed with PBE.

Output
D(E_F), states/eV/cell: 16.5
Total energy, eV/atom: -7.5695

Cell: 7.166 7.166 8.167 Å, 116.02 116.02 90.00°
Fractional positions:
Zr (0.520, 0.695, 0.715)
Zr (0.805, 0.980, 0.285)
Zr (0.000, 0.000, 0.000)
Zr (0.500, 0.500, 0.000)
Zr (0.195, 0.020, 0.715)
Zr (0.695, 0.195, 0.715)
Zr (0.020, 0.520, 0.715)
Zr (0.305, 0.805, 0.285)
Zr (0.980, 0.480, 0.285)
Zr (0.480, 0.305, 0.285)
Tl (0.750, 0.750, 0.500)
Tl (0.250, 0.250, 0.500)
Si (0.131, 0.369, 0.000)
Si (0.631, 0.131, 0.000)
Si (0.369, 0.869, 0.000)
Si (0.869, 0.631, 0.000)

=====

Entry 9:
A relaxed structure of ZrTl2Si, computed with PBE.

Output
D(E_F), states/eV/cell: 2.6
Total energy, eV/atom: -4.4877

Cell: 6.041 6.041 5.037 Å, 65.51 65.51 32.76°
Fractional positions:
Si (0.750, 0.750, 0.750)
Tl (0.017, 0.017, 0.983)
Tl (0.483, 0.483, 0.517)
Zr (0.250, 0.250, 0.250)

=====

Entry 10:
A relaxed structure of ZrTl2Si, computed with PBE.

Output
D(E_F), states/eV/cell: 2.6
Total energy, eV/atom: -4.2691

Cell: 3.173 3.173 9.121 Å, 90.00 90.00 90.00°
Fractional positions:
Si (0.500, 0.500, 0.750)
Tl (0.000, 0.000, 0.996)
Tl (0.000, 0.000, 0.504)
Zr (0.500, 0.500, 0.250)

=====

Entry 11:
A relaxed structure of ZrTl2Si, computed with PBE.

Output
D(E_F), states/eV/cell: 5.7
Total energy, eV/atom: -4.3410

Cell: 8.054 8.054 6.395 Å, 50.97 50.97 90.00°
Fractional positions:
Tl (0.597, 0.125, 0.250)
Tl (0.153, 0.625, 0.250)
Tl (0.375, 0.403, 0.750)
Tl (0.875, 0.847, 0.750)
Si (0.500, 0.500, 0.000)
Si (0.250, 0.750, 0.500)
Zr (0.000, 0.000, 0.000)
Zr (0.750, 0.250, 0.500)

=====

Entry 12:
A relaxed structure of ZrTl2Si, computed with PBE.

Output
D(E_F), states/eV/cell: 2.9
Total energy, eV/atom: -4.6749

Cell: 8.070 8.070 8.070 Å, 152.48 153.97 38.24°
Fractional positions:
Si (0.250, 0.750, 0.500)
Tl (0.072, 0.072, 0.000)
Tl (0.428, 0.428, 0.000)
Zr (0.750, 0.250, 0.500)